# 1
## Mg5Ga2Pd2 (PBE)

Data for an optimized crystal structure of Mg5Ga2Pd2.

Cell lengths 7.847, 7.847, 7.023 Å; angles 90.00, 90.00, 54.58 degrees
Atoms (fractional coordinates):
Mg  0.000  0.000  0.000
Mg  0.036  0.707  0.666
Mg  0.207  0.536  0.166
Mg  0.293  0.964  0.666
Mg  0.464  0.793  0.166
Mg  0.500  0.500  0.500
Mg  0.536  0.207  0.834
Mg  0.707  0.036  0.334
Mg  0.793  0.464  0.834
Mg  0.964  0.293  0.334
Ga  0.213  0.213  0.000
Ga  0.287  0.287  0.500
Ga  0.713  0.713  0.500
Ga  0.787  0.787  0.000
Pd  0.138  0.862  0.365
Pd  0.362  0.638  0.865
Pd  0.638  0.362  0.135
Pd  0.862  0.138  0.635

The volume comes out at 19.58 Å³ per atom. Its formation enthalpy at 0 K is -0.32 eV per atom. The density of states at the Fermi level comes out at 4.5 states/eV/cell.

---

# 2
## NdSmInRh (PBE)

Data for an optimized crystal structure of NdSmInRh.

Cell lengths 5.232, 5.232, 5.232 Å; angles 60.00, 60.00, 60.00 degrees
Atoms (fractional coordinates):
Nd  0.000  0.000  0.000
Sm  0.500  0.500  0.500
In  0.250  0.250  0.250
Rh  0.750  0.750  0.750

The volume comes out at 25.31 Å³ per atom. Its formation enthalpy at 0 K is -0.46 eV per atom. The density of states at the Fermi level comes out at 3.6 states/eV/cell.

---

# 3
## Tb2Pr3Er4 (PBE)

Data for an optimized crystal structure of Tb2Pr3Er4.

Cell lengths 6.207, 6.219, 8.005 Å; angles 75.17, 82.73, 80.32 degrees
Atoms (fractional coordinates):
Tb  0.165  0.332  0.166
Tb  0.835  0.668  0.834
Pr  0.388  0.443  0.725
Pr  0.500  0.000  0.500
Pr  0.612  0.557  0.275
Er  0.054  0.778  0.388
Er  0.274  0.889  0.947
Er  0.726  0.111  0.053
Er  0.946  0.222  0.612

The volume comes out at 32.59 Å³ per atom. Its formation enthalpy at 0 K is 0.02 eV per atom. The density of states at the Fermi level comes out at 12.2 states/eV/cell. The polymorph energy (0 for the lowest one) is 0 meV per atom.

---

# 4
## SrIr4O12 (PBE)

Data for an optimized crystal structure of SrIr4O12.

Cell lengths 6.453, 6.453, 6.453 Å; angles 109.47, 109.47, 109.47 degrees
Atoms (fractional coordinates):
Sr  0.000  0.000  0.000
Ir  0.000  0.000  0.500
Ir  0.000  0.500  0.000
Ir  0.500  0.000  0.000
Ir  0.500  0.500  0.500
O  0.113  0.299  0.814
O  0.186  0.485  0.299
O  0.186  0.887  0.701
O  0.299  0.186  0.485
O  0.299  0.814  0.113
O  0.485  0.299  0.186
O  0.515  0.701  0.814
O  0.701  0.186  0.887
O  0.701  0.814  0.515
O  0.814  0.113  0.299
O  0.814  0.515  0.701
O  0.887  0.701  0.186

The volume comes out at 12.17 Å³ per atom. The density of states at the Fermi level comes out at 16.3 states/eV/cell. Its uncorrected formation energy is -17.79 kcal/mol of atoms.

---

# 5
## LiHg2Au2 (PBE)

Data for an optimized crystal structure of LiHg2Au2.

Cell lengths 7.730, 7.730, 7.730 Å; angles 150.67, 150.67, 41.96 degrees
Atoms (fractional coordinates):
Li  0.000  0.000  0.000
Hg  0.402  0.402  0.000
Hg  0.598  0.598  0.000
Au  0.250  0.750  0.500
Au  0.750  0.250  0.500

The volume comes out at 22.12 Å³ per atom. Its formation enthalpy at 0 K is -0.09 eV per atom. The density of states at the Fermi level comes out at 1.4 states/eV/cell. The polymorph energy (0 for the lowest one) is 47 meV per atom.